Entry 1:
A relaxed Be2AgAsO6 crystal. Source: Alexandria via LeMat-Bulk, functional GGA-PBE.

```
Be2AgAsO6
1.0
-1.821 1.495 5.178
-5.162 -4.307 1.559
4.758 -2.261 4.458
Be Ag As O
4 2 2 12
Cartesian
-1.771 -3.823 5.787
-1.083 -2.315 2.369
-0.454 -1.250 5.408
-1.142 -2.758 8.826
-4.504 -3.704 3.179
2.279 -1.370 8.016
2.382 -2.284 5.191
-4.607 -2.789 6.004
-1.673 -5.386 6.185
-1.372 -0.792 1.916
-0.552 0.313 5.010
-0.853 -4.281 9.279
-3.257 -3.470 5.214
-2.400 -3.246 2.123
1.032 -1.603 5.980
0.175 -1.827 9.072
-0.633 -3.626 4.535
-0.780 -2.215 4.042
-1.592 -1.447 6.660
-1.445 -2.858 7.153
```

formation energy without anion corrections	-1420	meV/atom
SG	No. 15
Fermi-level density of states	0.0	states/eV per cell



Entry 2:
A relaxed BeAg2AsO4 crystal. Source: Alexandria via LeMat-Bulk, functional GGA-PBE.

```
BeAg2AsO4
1.0
-4.535 -2.393 0.048
1.158 -2.285 -4.443
3.274 -0.627 4.136
Be Ag As O
1 2 1 4
Cartesian
-0.726 -4.080 1.908
2.120 -4.025 -0.338
0.748 -1.399 0.915
-0.940 -3.739 -1.282
-0.268 -3.622 0.361
-2.665 -3.306 -1.225
-0.040 -2.633 -2.347
-1.948 -3.107 2.522
```

formation energy without anion corrections	-1021	meV/atom
SG	No. 82
Fermi-level density of states	0.6	states/eV per cell



Entry 3:
A relaxed BeAgAsO4 crystal. Source: Alexandria via LeMat-Bulk, functional GGA-PBE.

```
BeAgAsO4
1.0
-0.702 4.756 1.338
-1.130 -1.470 4.633
4.468 -1.385 -2.037
Be Ag As O
1 1 1 4
Cartesian
1.211 -0.606 2.790
0.000 0.000 0.000
-0.916 1.643 2.985
3.002 -0.063 -0.653
0.042 0.309 3.504
2.243 0.444 2.053
-0.017 3.112 2.962
```

formation energy without anion corrections	-1435	meV/atom
SG	No. 82



Entry 4:
A relaxed Be2Ag2AsO6 crystal. Source: Alexandria via LeMat-Bulk, functional GGA-PBE.

```
Be2Ag2AsO6
1.0
5.025 0.000 0.000
-2.513 4.352 0.000
0.000 0.000 5.648
Be Ag As O
2 2 1 6
Cartesian
0.000 2.901 4.834
2.513 1.451 0.814
0.000 2.901 2.179
2.513 1.451 3.469
0.000 0.000 0.000
0.503 1.448 4.588
-1.510 3.193 4.588
1.008 4.064 4.588
2.010 2.904 1.060
4.023 1.159 1.060
1.505 0.288 1.060
```

formation energy without anion corrections	-1178	meV/atom
SG	No. 147
Fermi-level density of states	9.9	states/eV per cell



Entry 5:
A relaxed BeAgAsOs2 crystal. Source: Alexandria via LeMat-Bulk, functional GGA-PBE.

```
BeAgAsOs2
1.0
4.225 0.000 0.000
0.000 4.272 0.000
0.000 0.000 4.225
Be As Os Ag
1 1 2 1
Cartesian
0.000 0.000 0.000
0.000 2.136 0.000
0.000 0.000 2.112
2.112 0.000 0.000
2.112 2.136 2.112
```

E_form	5.4	eV/f.u.
SG	No. 123
Fermi-level density of states	5.6	states/eV per cell



Entry 6:
A relaxed Rb2BeAgAs2 crystal. Source: Alexandria via LeMat-Bulk, functional GGA-PBE.

```
Rb2BeAgAs2
1.0
-4.983 -3.546 -1.979
2.904 -5.084 1.796
-2.390 4.984 7.528
Rb Be Ag As
4 2 2 4
Cartesian
-2.306 -0.604 2.020
-2.162 -3.042 5.326
-0.956 1.392 5.484
-3.513 -5.037 1.862
-0.313 -5.586 0.358
-1.765 -3.044 -0.540
2.178 -3.813 1.347
0.726 -1.271 0.449
-4.048 -2.395 -0.232
-0.555 -3.484 1.477
-3.914 -0.162 5.868
-0.420 -1.251 7.577
```

E_form	-1.3	eV/f.u.
SG	No. 72
Fermi-level density of states	7.8	states/eV per cell



Entry 7:
A relaxed BeAg2AsS4 crystal. Source: Alexandria via LeMat-Bulk, functional GGA-PBE.

```
BeAg2AsS4
1.0
5.704 0.001 -0.003
-0.001 5.705 -0.003
-2.849 -2.851 5.164
Be Ag As S
1 2 1 4
Cartesian
2.855 0.003 5.012
0.002 2.855 5.018
0.002 0.001 2.435
2.853 2.854 2.431
1.677 1.313 3.832
4.395 1.677 1.034
1.309 4.030 1.033
-1.672 -1.309 3.834
```

formation energy without anion corrections	-227	meV/atom
SG	No. 5
Fermi-level density of states	4.8	states/eV per cell



Entry 8:
A relaxed BeAgAs2Se crystal. Source: Alexandria via LeMat-Bulk, functional GGA-PBE.

```
BeAgAs2Se
1.0
4.969 0.000 0.000
0.000 4.969 0.000
0.000 0.000 5.100
Be As Se Ag
1 2 1 1
Cartesian
2.485 2.485 2.550
0.000 2.485 0.000
2.485 0.000 0.000
0.000 0.000 2.550
0.000 0.000 0.000
```

formation energy without anion corrections	1275	meV/atom
SG	No. 123
Fermi-level density of states	4.7	states/eV per cell



Entry 9:
A relaxed BeAgAs2Se crystal. Source: Alexandria via LeMat-Bulk, functional GGA-PBE.

```
BeAgAs2Se
1.0
4.461 0.000 0.000
0.000 4.461 0.000
0.000 0.000 4.865
Be As Se Ag
1 2 1 1
Cartesian
0.000 0.000 0.000
0.000 2.230 0.000
2.230 0.000 0.000
0.000 0.000 2.433
2.230 2.230 2.433
```

formation energy without anion corrections	483	meV/atom
SG	No. 123
Fermi-level density of states	2.9	states/eV per cell



Entry 10:
A relaxed BeAgAsSe2 crystal. Source: Alexandria via LeMat-Bulk, functional GGA-PBE.

```
BeAgAsSe2
1.0
-4.017 -2.675 -0.166
2.617 -3.979 0.796
-0.512 0.507 4.218
Be As Se Ag
1 1 2 1
Cartesian
0.000 0.000 0.000
-0.256 0.253 2.109
1.309 -1.990 0.398
-2.008 -1.338 -0.083
-0.956 -3.074 2.424
```

formation energy without anion corrections	406	meV/atom
SG	No. 123
Fermi-level density of states	3.4	states/eV per cell



Entry 11:
A relaxed BeAgAsSe2 crystal. Source: Alexandria via LeMat-Bulk, functional GGA-PBE.

```
BeAgAsSe2
1.0
-3.545 1.086 -3.508
-3.309 -3.057 2.398
-1.525 3.777 2.710
Be As Se Ag
1 1 2 1
Cartesian
-4.190 0.903 0.801
-0.762 1.888 1.355
-1.655 -1.529 1.199
-1.773 0.543 -1.754
0.000 0.000 0.000
```

formation energy without anion corrections	1180	meV/atom
SG	No. 123
Fermi-level density of states	4.6	states/eV per cell



Entry 12:
A relaxed TaBeAg2As crystal. Source: Alexandria via LeMat-Bulk, functional GGA-PBE.

```
TaBeAg2As
1.0
-2.103 1.641 4.244
-3.568 -0.577 -1.545
-0.022 -4.679 1.798
Be As Ag Ta
1 1 2 1
Cartesian
-1.784 -0.289 -0.772
0.000 0.000 0.000
-0.011 -2.339 0.899
-1.051 0.820 2.122
-2.846 -1.808 2.249
```

E_form	5.8	eV/f.u.
SG	No. 123
Fermi-level density of states	3.8	states/eV per cell



Entry 13:
A relaxed Ti2BeAgAs crystal. Source: Alexandria via LeMat-Bulk, functional GGA-PBE.

```
Ti2BeAgAs
1.0
-4.520 1.155 -1.474
-0.804 -4.016 -0.681
-1.616 -0.456 4.596
Be As Ag Ti
1 1 1 2
Cartesian
-0.402 -2.008 -0.341
-3.470 -1.658 1.220
0.000 0.000 0.000
-0.808 -0.228 2.298
-2.260 0.578 -0.737
```

E_form	3.9	eV/f.u.
SG	No. 123
Fermi-level density of states	4.7	states/eV per cell



Entry 14:
A relaxed AgBi2As2 crystal. Source: Alexandria via LeMat-Bulk, functional GGA-PBE.

```
AgBi2As2
1.0
3.779 0.000 0.000
0.000 3.779 0.000
1.890 1.890 8.852
As Bi Ag
2 2 1
Cartesian
3.779 1.890 4.426
1.890 3.779 4.426
1.890 1.890 1.715
3.779 3.779 7.137
0.000 0.000 0.000
```

E_form	1.0	eV/f.u.
SG	No. 139
Fermi-level density of states	2.0	states/eV per cell



Entry 15:
A relaxed Ag2Bi2As crystal. Source: Alexandria via LeMat-Bulk, functional GGA-PBE.

```
Ag2Bi2As
1.0
3.891 0.000 0.000
0.000 3.891 0.000
1.946 1.946 8.268
As Bi Ag
1 2 2
Cartesian
0.000 0.000 0.000
1.946 1.946 1.658
3.891 3.891 6.610
3.891 1.946 4.134
1.946 3.891 4.134
```

E_form	1.1	eV/f.u.
SG	No. 139
Fermi-level density of states	2.3	states/eV per cell



Entry 16:
A relaxed Ag3BiAs crystal. Source: Alexandria via LeMat-Bulk, functional GGA-PBE.

```
Ag3BiAs
1.0
5.429 0.000 0.000
0.000 5.429 0.000
0.000 0.000 5.429
As Bi Ag
1 1 3
Cartesian
2.714 2.714 2.714
0.000 0.000 0.000
0.000 2.714 0.000
0.000 0.000 2.714
2.714 0.000 0.000
```

E_form	4.5	eV/f.u.
SG	No. 221
Fermi-level density of states	3.2	states/eV per cell



Entry 17:
A relaxed AgBi2As2 crystal. Source: Alexandria via LeMat-Bulk, functional GGA-PBE.

```
AgBi2As2
1.0
-2.862 2.750 -6.762
5.102 -4.441 -3.966
-2.755 -3.086 -0.089
As Bi Ag
4 4 2
Cartesian
3.311 -2.794 -5.622
0.970 -0.627 -8.295
-1.071 1.103 -5.106
1.270 -1.064 -2.433
1.528 -4.031 -3.726
1.033 -3.470 -7.834
-2.043 -0.745 -7.091
-1.548 -1.306 -2.983
0.000 0.000 0.000
1.120 -0.845 -5.364
```

E_form	1.1	eV/f.u.
SG	No. 127
Fermi-level density of states	5.4	states/eV per cell



Entry 18:
A relaxed Ag3BiAs crystal. Source: Alexandria via LeMat-Bulk, functional GGA-PBE.

```
Ag3BiAs
1.0
-3.845 2.919 -1.330
-2.589 -4.050 -1.404
-1.894 -0.390 4.619
As Bi Ag
1 1 3
Cartesian
0.000 0.000 0.000
-4.164 -0.760 0.942
-1.295 -2.025 -0.702
-0.947 -0.195 2.309
-1.922 1.460 -0.665
```

E_form	2.0	eV/f.u.
SG	No. 221
Fermi-level density of states	5.2	states/eV per cell



Entry 19:
A relaxed Ag2Bi2As crystal. Source: Alexandria via LeMat-Bulk, functional GGA-PBE.

```
Ag2Bi2As
1.0
-1.324 -7.196 0.222
6.144 -1.011 3.849
-2.332 0.549 3.867
As Bi Ag
2 4 4
Cartesian
0.000 0.000 0.000
2.410 -4.104 2.036
2.720 -1.617 4.546
3.054 -5.379 5.281
-0.232 -6.041 3.393
-0.567 -2.279 2.657
4.827 -3.495 3.408
2.762 -6.862 2.639
-0.008 -4.712 0.664
2.058 -1.345 1.432
```

E_form	1.1	eV/f.u.
SG	No. 127
Fermi-level density of states	6.3	states/eV per cell



Entry 20:
A relaxed AgBi2As crystal. Source: Alexandria via LeMat-Bulk, functional GGA-PBE.

```
AgBi2As
1.0
-2.348 3.168 1.025
-2.342 1.793 -2.811
-7.226 -3.092 1.096
Ag Bi As
1 2 1
Cartesian
-5.968 0.926 -0.342
-5.839 -1.929 0.682
-2.945 0.496 -0.183
-10.350 0.218 -0.095
```

E_form	0.6	eV/f.u.
SG	No. 160
Fermi-level density of states	2.2	states/eV per cell